# FeTcRh3

A relaxed structure of FeTcRh3 (PBE, Alexandria).

The structure belongs to space group Cmcm (No. 63); the cell edges are 4.427, 12.068 and 5.318 Å and the angles 90.00°, 90.00° and 90.00°. The inequivalent atoms are Fe at (0.000, 0.190, 0.250), Tc at (0.000, 0.000, 0.000), Rh at (0.000, 0.193, 0.750) and Rh at (0.000, 0.386, 0.502).

For the calculated density, the calculation gives 10813 kg/m³. The formation energy is 0.5 eV per formula unit. For the relative energy among the computed polymorphs, the calculation gives 0.00 eV/f.u.

=====

# Fe3TcRh12

A relaxed structure of Fe3TcRh12 (PBE, Alexandria).

The structure belongs to space group P4/mmm (No. 123); the cell edges are 3.815, 3.815 and 15.245 Å and the angles 90.00°, 90.00° and 90.00°. The inequivalent atoms are Fe at (0.000, 0.000, 0.000), Fe at (0.000, 0.000, 0.245), Tc at (0.000, 0.000, 0.500), Rh at (0.000, 0.500, 0.125), Rh at (0.000, 0.500, 0.375), Rh at (0.500, 0.500, 0.000), Rh at (0.500, 0.500, 0.250) and Rh at (0.500, 0.500, 0.500).

For the calculated density, the calculation gives 11227 kg/m³. The formation energy is -1.1 eV per formula unit.

=====

The records above yield E_tot values of -40.3; -125.0 eV per formula unit, respectively.